[1]
Below is a geometry-optimized Li3Cu2F9 structure, with properties calculated at the GGA-PBE level.

Results
**Magnetic moment**: 0.288 μB/atom
**E_form (uncorrected)**: -1964 meV/atom
**Energy**: -4.16 eV per atom

Unit cell a=5.3595 b=5.3595 c=13.3714 alpha=90.00 beta=90.00 gamma=120.00
Closest atoms and distances in Å follow each position.
Fractional coordinates of all 28 atoms:
1 Li 0.6668 0.6669 0.2500  3 F 1.78-1.79
2 Li 0.3331 0.0000 0.2500  3 F 1.78-1.79
3 Li 0.0000 0.3332 0.2500  3 F 1.78-1.79
4 Li 0.0000 0.6668 0.7500  3 F 1.78-1.79
5 Li 0.6669 0.0000 0.7500  3 F 1.78-1.79
6 Li 0.3332 0.3331 0.7500  3 F 1.78-1.79
7 Cu 0.6667 0.3333 0.5000  6 F 1.98
8 Cu 0.6667 0.3333 0.0000  6 F 1.98
9 Cu 0.3333 0.6667 0.0000  6 F 1.98
10 Cu 0.3333 0.6667 0.5000  6 F 1.98
11 F 0.6678 0.6679 0.7500  3 Li 1.78-1.79
12 F 0.6317 0.6317 0.4247  2 Cu 1.98
13 F 0.6317 0.6317 0.0753  2 Cu 1.98
14 F 0.3321 0.0000 0.7500  3 Li 1.78-1.79
15 F 0.0000 0.3683 0.0753  2 Cu 1.98
16 F 0.0000 0.3683 0.4247  2 Cu 1.98
17 F 0.3683 0.0000 0.0753  2 Cu 1.98
18 F 0.3683 0.0000 0.4247  2 Cu 1.98
19 F 0.0000 0.6678 0.2500  3 Li 1.78-1.79
20 F 0.0000 0.3322 0.7500  3 Li 1.78-1.79
21 F 0.6317 0.0000 0.9247  2 Cu 1.98
22 F 0.6317 0.0000 0.5753  2 Cu 1.98
23 F 0.0000 0.6317 0.5753  2 Cu 1.98
24 F 0.0000 0.6317 0.9247  2 Cu 1.98
25 F 0.6679 0.0000 0.2500  3 Li 1.78-1.79
26 F 0.3683 0.3683 0.5753  2 Cu 1.98
27 F 0.3683 0.3683 0.9247  2 Cu 1.98
28 F 0.3322 0.3321 0.2500  3 Li 1.78-1.79

[2]
Below is a geometry-optimized LiCu2F5 structure, with properties calculated at the GGA-PBE level.

Results
**Magnetic moment**: 0.252 μB/atom
**E_form (uncorrected)**: -1844 meV/atom
**Energy**: -4.28 eV per atom
**Relative energy among the computed polymorphs**: 0.0 meV/atom

Unit cell a=5.7405 b=5.7405 c=7.3763 alpha=72.55 beta=72.55 gamma=84.63
Closest atoms and distances in Å follow each position.
Fractional coordinates of all 16 atoms:
1 Li 0.8985 0.1015 0.2500  4 F 1.87-1.93
2 Li 0.1015 0.8985 0.7500  4 F 1.87-1.93
3 Cu 0.5000 0.0000 0.0000  4 F 1.88-1.97
4 Cu 0.5000 0.5000 0.0000  4 F 1.95
5 Cu 0.5000 0.5000 0.5000  4 F 1.95
6 Cu 0.0000 0.5000 0.5000  4 F 1.88-1.97
7 F 0.5824 0.4176 0.7500  2 Cu 1.95
8 F 0.4176 0.5824 0.2500  2 Cu 1.95
9 F 0.3218 0.7980 0.9128  1 Li 1.93, 2 Cu 1.95-1.97
10 F 0.8235 0.7793 0.4036  1 Li 1.87, 1 Cu 1.88
11 F 0.7980 0.3218 0.4128  1 Li 1.93, 2 Cu 1.95-1.97
12 F 0.2207 0.1765 0.0964  1 Li 1.87, 1 Cu 1.88
13 F 0.7793 0.8235 0.9036  1 Li 1.87, 1 Cu 1.88
14 F 0.1765 0.2207 0.5964  1 Li 1.87, 1 Cu 1.88
15 F 0.2020 0.6782 0.5872  1 Li 1.93, 2 Cu 1.95-1.97
16 F 0.6782 0.2020 0.0872  1 Li 1.93, 2 Cu 1.95-1.97

[3]
Below is a geometry-optimized LiCuF3 structure, with properties calculated at the GGA-PBE level.

Results
**Magnetic moment**: 0.000 μB/atom
**E_form (uncorrected)**: -1890 meV/atom
**Energy**: -4.21 eV per atom
**Relative energy among the computed polymorphs**: 192.4 meV/atom

Unit cell a=3.9545 b=3.9545 c=3.9545 alpha=90.00 beta=90.00 gamma=90.00
Closest atoms and distances in Å follow each position.
Fractional coordinates of all 5 atoms:
1 Li 0.5000 0.5000 0.5000  12 F 2.80
2 Cu 0.0000 0.0000 0.0000  6 F 1.98
3 F 0.0000 0.5000 0.0000  2 Cu 1.98
4 F 0.0000 0.0000 0.5000  2 Cu 1.98
5 F 0.5000 0.0000 0.0000  2 Cu 1.98

[4]
Below is a geometry-optimized Li2Cu3F8 structure, with properties calculated at the GGA-PBE level.

Results
**Magnetic moment**: 0.231 μB/atom
**E_form (uncorrected)**: -1914 meV/atom
**Energy**: -4.31 eV per atom
**Relative energy among the computed polymorphs**: 16.5 meV/atom

Unit cell a=8.4930 b=8.4930 c=8.4930 alpha=90.00 beta=90.00 gamma=90.00
Closest atoms and distances in Å follow each position.
Fractional coordinates of all 52 atoms:
1 Li 0.0129 0.4871 0.5129  4 F 1.92-1.94
2 Li 0.2371 0.7371 0.7629  4 F 1.92-1.94
3 Li 0.2629 0.2629 0.2629  4 F 1.92-1.94
4 Li 0.4871 0.5129 0.0129  4 F 1.92-1.94
5 Li 0.5129 0.0129 0.4871  4 F 1.92-1.94
6 Li 0.7371 0.7629 0.2371  4 F 1.92-1.94
7 Li 0.7629 0.2371 0.7371  4 F 1.92-1.94
8 Li 0.9871 0.9871 0.9871  4 F 1.92-1.94
9 Cu 0.1034 0.6250 0.1466  6 F 1.98-2.16
10 Cu 0.1250 0.3534 0.8966  6 F 1.98-2.16
11 Cu 0.1466 0.1034 0.6250  6 F 1.98-2.16
12 Cu 0.3534 0.8966 0.1250  6 F 1.98-2.16
13 Cu 0.3750 0.6466 0.3966  6 F 1.98-2.16
14 Cu 0.3966 0.3750 0.6466  6 F 1.98-2.16
15 Cu 0.6034 0.8750 0.8534  6 F 1.98-2.16
16 Cu 0.6250 0.1466 0.1034  6 F 1.98-2.16
17 Cu 0.6466 0.3966 0.3750  6 F 1.98-2.16
18 Cu 0.8534 0.6034 0.8750  6 F 1.98-2.16
19 Cu 0.8750 0.8534 0.6034  6 F 1.98-2.16
20 Cu 0.8966 0.1250 0.3534  6 F 1.98-2.16
21 F 0.1059 0.8680 0.6302  1 Li 1.94, 2 Cu 1.98-2.03
22 F 0.1065 0.6065 0.8935  1 Li 1.92
23 F 0.1198 0.1180 0.8559  1 Li 1.94, 2 Cu 1.98-2.03
24 F 0.1320 0.1302 0.3941  1 Li 1.94, 2 Cu 1.98-2.03
25 F 0.1180 0.8559 0.1198  1 Li 1.94, 2 Cu 1.98-2.03
26 F 0.1302 0.3941 0.1320  1 Li 1.94, 2 Cu 1.98-2.03
27 F 0.1435 0.3565 0.6435  1 Li 1.92
28 F 0.1441 0.6198 0.3820  1 Li 1.94, 2 Cu 1.98-2.03
29 F 0.3559 0.3802 0.8820  1 Li 1.94, 2 Cu 1.98-2.03
30 F 0.3565 0.6435 0.1435  1 Li 1.92
31 F 0.3698 0.6059 0.6320  1 Li 1.94, 2 Cu 1.98-2.03
32 F 0.3820 0.1441 0.6198  1 Li 1.94, 2 Cu 1.98-2.03
33 F 0.3680 0.8698 0.8941  1 Li 1.94, 2 Cu 1.98-2.03
34 F 0.3802 0.8820 0.3559  1 Li 1.94, 2 Cu 1.98-2.03
35 F 0.3935 0.3935 0.3935  1 Li 1.92
36 F 0.3941 0.1320 0.1302  1 Li 1.94, 2 Cu 1.98-2.03
37 F 0.6059 0.6320 0.3698  1 Li 1.94, 2 Cu 1.98-2.03
38 F 0.6065 0.8935 0.1065  1 Li 1.92
39 F 0.6198 0.3820 0.1441  1 Li 1.94, 2 Cu 1.98-2.03
40 F 0.6320 0.3698 0.6059  1 Li 1.94, 2 Cu 1.98-2.03
41 F 0.6180 0.6441 0.8802  1 Li 1.94, 2 Cu 1.98-2.03
42 F 0.6302 0.1059 0.8680  1 Li 1.94, 2 Cu 1.98-2.03
43 F 0.6435 0.1435 0.3565  1 Li 1.92
44 F 0.6441 0.8802 0.6180  1 Li 1.94, 2 Cu 1.98-2.03
45 F 0.8559 0.1198 0.1180  1 Li 1.94, 2 Cu 1.98-2.03
46 F 0.8565 0.8565 0.8565  1 Li 1.92
47 F 0.8698 0.8941 0.3680  1 Li 1.94, 2 Cu 1.98-2.03
48 F 0.8820 0.3559 0.3802  1 Li 1.94, 2 Cu 1.98-2.03
49 F 0.8680 0.6302 0.1059  1 Li 1.94, 2 Cu 1.98-2.03
50 F 0.8802 0.6180 0.6441  1 Li 1.94, 2 Cu 1.98-2.03
51 F 0.8935 0.1065 0.6065  1 Li 1.92
52 F 0.8941 0.3680 0.8698  1 Li 1.94, 2 Cu 1.98-2.03

[5]
Below is a geometry-optimized LiCuF3 structure, with properties calculated at the GGA-PBE level.

Results
**Magnetic moment**: 0.200 μB/atom
**E_form (uncorrected)**: -2070 meV/atom
**Energy**: -4.39 eV per atom
**Relative energy among the computed polymorphs**: 12.3 meV/atom

Unit cell a=5.1760 b=5.2951 c=7.9481 alpha=88.61 beta=86.34 gamma=84.95
Closest atoms and distances in Å follow each position.
Fractional coordinates of all 20 atoms:
1 Li 0.9889 0.0544 0.7266  5 F 2.01-2.25
2 Li 0.4891 0.5350 0.7794  4 F 1.96-2.01
3 Li 0.5109 0.4650 0.2206  4 F 1.96-2.01
4 Li 0.0111 0.9456 0.2734  5 F 2.01-2.25
5 Cu 0.0000 0.5000 0.5000  4 F 1.92-1.93
6 Cu 0.0000 0.5000 0.0000  4 F 1.92-2.02
7 Cu 0.5000 0.0000 0.5000  4 F 1.92-1.95
8 Cu 0.5000 0.0000 0.0000  4 F 1.90-1.98
9 F 0.8213 0.8182 0.8999  2 Cu 1.98-2.02, 1 Li 2.04
10 F 0.8373 0.8333 0.5515  2 Cu 1.93-1.95, 1 Li 2.07
11 F 0.8501 0.6065 0.2165  1 Cu 1.92, 2 Li 1.97-2.12
12 F 0.7092 0.3440 0.6072  1 Cu 1.92, 1 Li 1.96
13 F 0.6573 0.3057 0.9515  1 Cu 1.90, 1 Li 2.00
14 F 0.6458 0.1114 0.2860  1 Cu 1.92, 2 Li 2.01
15 F 0.3542 0.8886 0.7140  1 Cu 1.92, 2 Li 2.01
16 F 0.3427 0.6943 0.0485  1 Cu 1.90, 1 Li 2.00
17 F 0.2908 0.6560 0.3928  1 Cu 1.92, 1 Li 1.96
18 F 0.1499 0.3935 0.7835  1 Cu 1.92, 2 Li 1.97-2.12
19 F 0.1627 0.1667 0.4485  2 Cu 1.93-1.95, 1 Li 2.07
20 F 0.1787 0.1818 0.1001  2 Cu 1.98-2.02, 1 Li 2.04

[6]
Below is a geometry-optimized Li4CuF5 structure, with properties calculated at the GGA-PBE level.

Results
**Magnetic moment**: 0.000 μB/atom
**E_form (uncorrected)**: -2485 meV/atom
**Energy**: -4.60 eV per atom

Unit cell a=5.2204 b=5.2204 c=5.2204 alpha=98.70 beta=98.70 gamma=134.24
Closest atoms and distances in Å follow each position.
Fractional coordinates of all 10 atoms:
1 Li 0.8101 0.6094 0.4195  6 F 2.00-2.24
2 Li 0.3906 0.8101 0.2008  6 F 2.00-2.24
3 Li 0.6094 0.1899 0.7992  6 F 2.00-2.24
4 Li 0.1899 0.3906 0.5805  6 F 2.00-2.24
5 Cu 0.0000 0.0000 0.0000  2 F 2.03
6 F 0.8809 0.3240 0.2049  5 Li 2.00-2.15
7 F 0.5000 0.5000 0.0000  2 Cu 2.03, 4 Li 2.24
8 F 0.6760 0.8809 0.5568  5 Li 2.00-2.15
9 F 0.3240 0.1191 0.4432  5 Li 2.00-2.15
10 F 0.1191 0.6760 0.7951  5 Li 2.00-2.15

[7]
Below is a geometry-optimized Li2Cu3F8 structure, with properties calculated at the GGA-PBE level.

Results
**Magnetic moment**: 0.234 μB/atom
**E_form (uncorrected)**: -1931 meV/atom
**Energy**: -4.32 eV per atom
**Relative energy among the computed polymorphs**: 0.0 meV/atom

Unit cell a=5.2422 b=6.1027 c=6.2736 alpha=61.85 beta=70.84 gamma=67.95
Closest atoms and distances in Å follow each position.
Fractional coordinates of all 13 atoms:
1 Li 0.6537 0.1060 0.0556  4 F 1.87-1.99
2 Li 0.3463 0.8940 0.9444  4 F 1.87-1.99
3 Cu 0.0000 0.0000 0.5000  4 F 1.90-1.95
4 Cu 0.0000 0.5000 0.0000  4 F 1.92-1.98
5 Cu 0.0000 0.5000 0.5000  4 F 1.93-1.99
6 F 0.2647 0.1676 0.0643  2 Li 1.92-1.99, 1 Cu 1.92
7 F 0.7984 0.4119 0.8466  1 Li 1.97, 2 Cu 1.98-1.99
8 F 0.7862 0.3587 0.4218  2 Cu 1.93-1.95
9 F 0.7878 0.9375 0.3504  1 Li 1.87, 1 Cu 1.90
10 F 0.2122 0.0625 0.6496  1 Li 1.87, 1 Cu 1.90
11 F 0.2138 0.6413 0.5782  2 Cu 1.93-1.95
12 F 0.2016 0.5881 0.1534  1 Li 1.97, 2 Cu 1.98-1.99
13 F 0.7353 0.8324 0.9357  2 Li 1.92-1.99, 1 Cu 1.92

[8]
Below is a geometry-optimized LiCuF3 structure, with properties calculated at the GGA-PBE level.

Results
**Magnetic moment**: 0.200 μB/atom
**E_form (uncorrected)**: -2072 meV/atom
**Energy**: -4.40 eV per atom
**Relative energy among the computed polymorphs**: 10.2 meV/atom

Unit cell a=9.8327 b=3.3065 c=7.7070 alpha=73.38 beta=90.00 gamma=90.00
Closest atoms and distances in Å follow each position.
Fractional coordinates of all 20 atoms:
1 Li 0.8116 0.0046 0.5180  4 F 1.90-2.00
2 Li 0.3116 0.9954 0.9820  4 F 1.90-2.00
3 Li 0.6884 0.0046 0.0180  4 F 1.90-2.00
4 Li 0.1884 0.9954 0.4820  4 F 1.90-2.00
5 Cu 0.4958 0.6895 0.6877  4 F 1.89-2.00
6 Cu 0.9958 0.3105 0.8123  4 F 1.89-2.00
7 Cu 0.0042 0.6895 0.1877  4 F 1.89-2.00
8 Cu 0.5042 0.3105 0.3123  4 F 1.89-2.00
9 F 0.0912 0.8207 0.7039  1 Li 1.90, 1 Cu 1.90
10 F 0.6404 0.4319 0.1312  1 Cu 1.89, 2 Li 1.90-1.92
11 F 0.1189 0.1411 0.0240  2 Cu 1.98-2.00, 1 Li 2.00
12 F 0.6189 0.8589 0.4760  2 Cu 1.98-2.00, 1 Li 2.00
13 F 0.5912 0.1793 0.7961  1 Li 1.90, 1 Cu 1.90
14 F 0.8596 0.4319 0.6312  1 Cu 1.89, 2 Li 1.90-1.92
15 F 0.1404 0.5681 0.3688  1 Cu 1.89, 2 Li 1.90-1.92
16 F 0.4088 0.8207 0.2039  1 Li 1.90, 1 Cu 1.90
17 F 0.3811 0.1411 0.5240  2 Cu 1.98-2.00, 1 Li 2.00
18 F 0.8811 0.8589 0.9760  2 Cu 1.98-2.00, 1 Li 2.00
19 F 0.3596 0.5681 0.8688  1 Cu 1.89, 2 Li 1.90-1.92
20 F 0.9088 0.1793 0.2961  1 Li 1.90, 1 Cu 1.90